Compound: HoFeAs2O8
Source: Alexandria via LeMat-Bulk
Functional: PBE with a Hubbard U
Structure: relaxed

```
12
Lattice="-3.4698 3.4698 3.1044 3.4698 -3.4698 3.1044 3.4698 3.4698 -3.1044" Properties=species:S:1:pos:R:3 pbc="T T T"
Ho 0.0000 0.0000 0.0000
Fe 3.4698 0.0000 1.5522
As 0.0000 0.0000 3.1044
As 0.0000 3.4698 1.5522
O 2.1560 3.4698 -1.1227
O 1.3139 0.0000 1.9817
O 0.0000 2.2262 0.3734
O 3.4698 2.1560 1.1227
O 0.0000 4.7135 0.3734
O 0.0000 1.3139 4.2271
O -1.2437 3.4698 2.7310
O 1.2437 3.4698 2.7310
```

Properties
Final energy   -80.30 eV for the cell shown
Spin magnetization   5.05 μB/f.u.